K2Np2AgS6 | PBE | relaxed

```
K2Np2AgS6
1.0
-5.189 -0.799 4.527
6.637 0.221 1.989
-0.919 7.637 -1.210
S K Np Ag
6 2 2 1
Direct
0.945 0.577 0.302
0.423 0.055 0.698
0.055 0.423 0.698
0.716 0.716 0.690
0.577 0.945 0.302
0.284 0.284 0.310
0.845 0.155 0.000
0.155 0.845 0.000
0.336 0.664 0.500
0.664 0.336 0.500
0.000 0.000 0.500
```

Summary:
Formation energy from raw total energies: -108.19 kJ per mole of atoms
Spin magnetization: 0.455 μB per atom
Final energy: -6.1843 eV/atom



KNp3Ag2S8 | PBE | relaxed

```
KNp3Ag2S8
1.0
-7.364 0.085 -3.758
-0.515 -1.472 -8.119
-3.270 -6.447 -2.833
K Np S Ag
1 3 8 2
Direct
0.916 0.916 0.252
0.503 0.503 0.997
0.503 0.997 0.997
0.997 0.503 0.997
0.239 0.729 0.793
0.742 0.742 0.773
0.261 0.261 0.216
0.322 0.723 0.233
0.729 0.239 0.793
0.723 0.322 0.233
0.239 0.239 0.793
0.723 0.723 0.233
0.474 0.474 0.578
0.122 0.122 0.633
```

Summary:
Formation energy from raw total energies: -91.84 kJ per mole of atoms
Spin magnetization: 0.571 μB per atom
Final energy: -6.5691 eV/atom



K3NpAg2S6 | PBE | relaxed

```
K3NpAg2S6
1.0
7.576 0.000 0.000
-3.788 6.561 0.000
0.000 0.000 8.181
S K Ag Np
6 3 2 1
Direct
0.152 0.848 0.307
0.303 0.152 0.693
0.152 0.303 0.307
0.697 0.848 0.307
0.848 0.697 0.693
0.848 0.152 0.693
0.333 0.667 0.675
0.000 0.000 0.000
0.667 0.333 0.325
0.333 0.667 0.279
0.667 0.333 0.721
0.000 0.000 0.500
```

Summary:
Formation energy from raw total energies: -70.45 kJ per mole of atoms
Spin magnetization: 0.015 μB per atom
Final energy: -4.6218 eV/atom



K4Np3AgSe8 | PBE | relaxed

```
K4Np3AgSe8
1.0
-5.487 -4.580 -4.530
6.574 -5.912 -1.986
-1.548 1.593 8.167
Se Ag K Np
8 1 4 3
Direct
0.277 0.298 0.038
0.760 0.298 0.038
0.735 0.706 0.470
0.723 0.702 0.962
0.240 0.702 0.962
0.240 0.703 0.480
0.265 0.294 0.530
0.760 0.297 0.520
0.000 0.500 0.000
0.500 0.000 0.000
0.000 0.000 0.500
0.500 0.000 0.500
0.000 0.000 0.000
0.000 0.500 0.500
0.500 0.500 0.000
0.500 0.500 0.500
```

Summary:
Formation energy from raw total energies: -107.72 kJ per mole of atoms
Spin magnetization: 0.625 μB per atom
Final energy: -5.7377 eV/atom



K3Np2AgSe6 | PBE | relaxed

```
K3Np2AgSe6
1.0
-6.297 0.270 -3.640
3.023 -6.433 1.569
-2.750 1.851 7.301
Se K Ag Np
6 3 1 2
Direct
0.932 0.582 0.795
0.719 0.719 0.202
0.281 0.281 0.798
0.418 0.068 0.205
0.582 0.932 0.795
0.068 0.418 0.205
0.159 0.841 0.500
0.841 0.159 0.500
0.500 0.500 0.500
0.000 0.000 0.000
0.333 0.667 0.000
0.667 0.333 0.000
```

Summary:
Formation energy from raw total energies: -103.83 kJ per mole of atoms
Spin magnetization: 0.500 μB per atom
Final energy: -5.4872 eV/atom



K3NpAg2Se6 | PBE | relaxed

```
K3NpAg2Se6
1.0
-0.139 1.950 7.728
-4.025 -6.381 -2.574
6.890 -4.893 1.358
Np K Se Ag
1 3 6 2
Direct
0.000 0.000 0.500
0.333 0.667 0.663
0.000 0.000 0.000
0.667 0.333 0.337
0.152 0.848 0.302
0.696 0.848 0.302
0.848 0.152 0.698
0.304 0.152 0.698
0.152 0.304 0.302
0.848 0.696 0.698
0.333 0.667 0.280
0.667 0.333 0.720
```

Summary:
Formation energy from raw total energies: -64.26 kJ per mole of atoms
Spin magnetization: 0.017 μB per atom
Final energy: -4.2362 eV/atom



K2NpAg2Te4 | PBE | relaxed

```
K2NpAg2Te4
1.0
-1.662 -3.877 1.569
7.641 -2.022 3.100
-3.417 6.029 4.823
Te Np K Ag
4 1 2 2
Direct
0.491 0.244 0.981
0.509 0.756 0.019
0.804 0.798 0.607
0.196 0.202 0.393
0.000 0.000 0.000
0.134 0.578 0.269
0.866 0.422 0.731
0.318 0.014 0.636
0.682 0.986 0.364
```

Summary:
Formation energy from raw total energies: -66.05 kJ per mole of atoms
Spin magnetization: 0.336 μB per atom
Final energy: -4.3962 eV/atom



KNpAgTe3 | PBE | relaxed

```
KNpAgTe3
1.0
-3.886 2.195 0.080
-2.872 -4.807 -7.622
-2.843 -5.343 8.461
Ag Te Np K
2 6 2 2
Direct
0.250 0.079 0.592
0.750 0.921 0.408
0.750 0.244 0.540
0.750 0.456 0.154
0.750 0.892 0.129
0.250 0.756 0.460
0.250 0.544 0.846
0.250 0.108 0.871
0.750 0.318 0.843
0.250 0.682 0.157
0.750 0.792 0.746
0.250 0.208 0.254
```

Summary:
Formation energy from raw total energies: -64.86 kJ per mole of atoms
Spin magnetization: 0.505 μB per atom
Final energy: -5.0580 eV/atom



KNpAg2Te4 | PBE | relaxed

```
KNpAg2Te4
1.0
-5.824 -1.578 3.926
-1.714 -6.654 1.382
0.462 -0.854 6.942
Ag Te K Np
2 4 1 1
Direct
0.833 0.667 0.667
0.167 0.333 0.333
0.522 0.470 0.924
0.916 0.530 0.076
0.084 0.924 0.470
0.478 0.076 0.530
0.000 0.000 0.000
0.500 0.500 0.500
```

Summary:
Formation energy from raw total energies: -26.75 kJ per mole of atoms
Spin magnetization: 0.356 μB per atom
Final energy: -4.3156 eV/atom



KNp3Ag2Te6 | PBE | relaxed

```
KNp3Ag2Te6
1.0
-0.831 3.391 2.939
2.316 -5.956 7.528
8.996 3.254 -4.755
Np Te K Ag
3 6 1 2
Direct
0.500 0.500 0.000
0.171 0.840 0.341
0.829 0.160 0.659
0.668 0.618 0.337
0.012 0.733 0.023
0.988 0.267 0.977
0.674 0.055 0.348
0.326 0.945 0.652
0.332 0.382 0.663
0.500 0.000 0.000
0.116 0.469 0.231
0.884 0.531 0.769
```

Summary:
Formation energy from raw total energies: -52.32 kJ per mole of atoms
Spin magnetization: 1.000 μB per atom
Final energy: -5.9149 eV/atom